Tb3Pr6Sm2Dy: optimized geometry, PBE-GGA.

Computed properties:
Its theoretical density is 7.2 Mg/m³. As for the space group: No. 12. For the formation energy, the calculation gives 0.01 eV/atom. Its total energy is -4.706 eV/atom.

Lattice parameters (Å, degrees): 6.338 6.338 11.992 95.04 95.04 120.01
Positions (direct):
Tb1 0.167 0.833 0.500
Tb2 0.833 0.167 0.500
Tb3 0.500 0.500 0.500
Pr1 0.916 0.583 0.749
Pr2 0.751 0.751 0.251
Pr3 0.084 0.417 0.251
Pr4 0.583 0.916 0.749
Pr5 0.249 0.249 0.749
Pr6 0.417 0.084 0.251
Sm1 0.333 0.667 0.000
Sm2 0.667 0.333 0.000
Dy1 0.000 0.000 0.000



Tb2PrSmDy: optimized geometry, PBE-GGA.

Computed properties:
Its theoretical density is 7.3 Mg/m³. As for the space group: No. 63. For the formation energy, the calculation gives 0.38 eV/atom. Its total energy is -4.293 eV/atom.

Lattice parameters (Å, degrees): 7.188 8.456 7.189 126.02 90.00 90.00
Positions (direct):
Tb1 0.500 0.312 0.000
Tb2 0.000 0.688 0.000
Tb3 0.500 0.688 0.000
Tb4 0.000 0.312 0.000
Pr1 0.250 0.729 0.459
Pr2 0.750 0.271 0.541
Sm1 0.250 0.997 0.994
Sm2 0.750 0.003 0.006
Dy1 0.750 0.724 0.449
Dy2 0.250 0.276 0.551



Tb2Pr6SmDy: optimized geometry, PBE-GGA.

Computed properties:
Its theoretical density is 7.0 Mg/m³. As for the space group: No. 15. For the formation energy, the calculation gives 0.11 eV/atom. Its total energy is -4.613 eV/atom.

Lattice parameters (Å, degrees): 9.789 9.020 9.020 117.65 94.04 94.04
Positions (direct):
Tb1 0.454 0.801 0.704
Tb2 0.046 0.296 0.199
Tb3 0.546 0.199 0.296
Tb4 0.954 0.704 0.801
Pr1 0.054 0.115 0.758
Pr2 0.446 0.242 0.885
Pr3 0.946 0.885 0.242
Pr4 0.554 0.758 0.115
Pr5 0.312 0.991 0.435
Pr6 0.188 0.565 0.009
Pr7 0.688 0.009 0.565
Pr8 0.812 0.435 0.991
Pr9 0.118 0.706 0.491
Pr10 0.382 0.509 0.294
Pr11 0.882 0.294 0.509
Pr12 0.618 0.491 0.706
Sm1 0.250 0.974 0.026
Sm2 0.750 0.026 0.974
Dy1 0.250 0.410 0.590
Dy2 0.750 0.590 0.410



TbPr6Sm2Dy: optimized geometry, PBE-GGA.

Computed properties:
Its theoretical density is 6.9 Mg/m³. As for the space group: No. 15. For the formation energy, the calculation gives 0.11 eV/atom. Its total energy is -4.621 eV/atom.

Lattice parameters (Å, degrees): 9.857 9.032 9.032 117.99 94.31 94.31
Positions (direct):
Tb1 0.250 0.977 0.023
Tb2 0.750 0.023 0.977
Pr1 0.054 0.117 0.757
Pr2 0.446 0.243 0.883
Pr3 0.946 0.883 0.243
Pr4 0.554 0.757 0.117
Pr5 0.311 0.988 0.431
Pr6 0.189 0.569 0.012
Pr7 0.689 0.012 0.569
Pr8 0.811 0.431 0.988
Pr9 0.119 0.706 0.496
Pr10 0.381 0.504 0.294
Pr11 0.881 0.294 0.504
Pr12 0.619 0.496 0.706
Sm1 0.456 0.803 0.706
Sm2 0.044 0.294 0.197
Sm3 0.544 0.197 0.294
Sm4 0.956 0.706 0.803
Dy1 0.250 0.409 0.591
Dy2 0.750 0.591 0.409



TbPr6SmDy2: optimized geometry, PBE-GGA.

Computed properties:
Its theoretical density is 7.0 Mg/m³. As for the space group: No. 15. For the formation energy, the calculation gives 0.11 eV/atom. Its total energy is -4.609 eV/atom.

Lattice parameters (Å, degrees): 9.786 9.017 9.017 117.67 94.14 94.14
Positions (direct):
Tb1 0.250 0.972 0.028
Tb2 0.750 0.028 0.972
Pr1 0.055 0.112 0.761
Pr2 0.445 0.239 0.888
Pr3 0.945 0.888 0.239
Pr4 0.555 0.761 0.112
Pr5 0.313 0.988 0.435
Pr6 0.187 0.565 0.012
Pr7 0.687 0.012 0.565
Pr8 0.813 0.435 0.988
Pr9 0.119 0.705 0.490
Pr10 0.381 0.510 0.295
Pr11 0.881 0.295 0.510
Pr12 0.619 0.490 0.705
Sm1 0.250 0.409 0.591
Sm2 0.750 0.591 0.409
Dy1 0.454 0.803 0.707
Dy2 0.046 0.293 0.197
Dy3 0.546 0.197 0.293
Dy4 0.954 0.707 0.803



Tb6PrSmDy2: optimized geometry, PBE-GGA.

Computed properties:
Its theoretical density is 7.9 Mg/m³. As for the space group: No. 15. For the formation energy, the calculation gives 0.12 eV/atom. Its total energy is -4.526 eV/atom.

Lattice parameters (Å, degrees): 9.668 8.816 8.816 117.68 94.08 94.08
Positions (direct):
Tb1 0.057 0.118 0.750
Tb2 0.443 0.250 0.882
Tb3 0.943 0.882 0.250
Tb4 0.557 0.750 0.118
Tb5 0.319 0.975 0.429
Tb6 0.181 0.571 0.025
Tb7 0.681 0.025 0.571
Tb8 0.819 0.429 0.975
Tb9 0.121 0.707 0.493
Tb10 0.379 0.507 0.293
Tb11 0.879 0.293 0.507
Tb12 0.621 0.493 0.707
Pr1 0.250 0.406 0.594
Pr2 0.750 0.594 0.406
Sm1 0.250 0.975 0.025
Sm2 0.750 0.025 0.975
Dy1 0.455 0.806 0.704
Dy2 0.045 0.296 0.194
Dy3 0.545 0.194 0.296
Dy4 0.955 0.704 0.806



What is the formula in the fifth record? TbPr6SmDy2